PBE IrOs2W, relaxed; relative energy among the computed polymorphs = 13 meV/atom; energy relative to the elements = -196 meV per atom; theoretical density = 21370 kg/m³
1.0
4.406 0.000 0.000
0.000 4.809 2.774
0.000 -4.809 2.774
Os W Ir
4 2 2
Cartesian
1.102 -0.823 4.170 Os
3.305 3.207 2.782 Os
3.305 0.823 4.170 Os
1.102 -3.207 2.782 Os
1.102 1.611 2.770 W
3.305 -1.611 2.770 W
3.305 0.797 1.376 Ir
1.102 -0.797 1.376 Ir